Record 1
DFT (PBE-GGA) results for a geometry-optimized LaIn3Pt2 structure.

a b c (Å): 7.716 7.716 7.416
angles (deg): 58.65 58.65 60.00
Fractional coordinates of all 12 atoms:
La 0.236 0.236 0.292
Pt 0.000 0.500 0.000
La 0.764 0.764 0.708
In 0.261 0.261 0.723
In 0.739 0.246 0.277
In 0.739 0.739 0.277
Pt 0.500 0.500 0.000
Pt 0.500 0.000 0.000
Pt 0.000 0.000 0.000
In 0.261 0.754 0.723
In 0.754 0.261 0.723
In 0.246 0.739 0.277

Calculated values
Offset from the most stable computed form ... 174 meV/atom
Space group ... R-3m, No. 166
Formation energy from the elements ... -0.502 eV/atom

=====

Record 2
DFT (PBE-GGA) results for a geometry-optimized La3InPt8 structure.

a b c (Å): 5.529 5.529 9.549
angles (deg): 73.17 73.17 60.00
Fractional coordinates of all 12 atoms:
Pt 0.438 0.438 0.184
Pt 0.189 0.189 0.434
Pt 0.437 0.938 0.686
La 0.377 0.377 0.870
Pt 0.688 0.688 0.935
In 0.868 0.868 0.397
La 0.993 0.993 0.021
Pt 0.941 0.438 0.184
La 0.505 0.505 0.484
Pt 0.938 0.938 0.686
Pt 0.938 0.437 0.686
Pt 0.438 0.941 0.184

Calculated values
Space group ... R3m, No. 160
Formation energy from the elements ... -0.985 eV/atom

=====

Record 3
DFT (PBE-GGA) results for a geometry-optimized LaIn2Pt structure.

a b c (Å): 5.133 5.133 5.133
angles (deg): 120.19 120.11 89.74
Fractional coordinates of all 4 atoms:
La 0.500 0.500 0.000
In 0.000 0.000 0.000
Pt 0.249 0.749 0.500
In 0.750 0.250 0.500

Calculated values
Space group ... Imm2, No. 44
Formation energy from the elements ... -0.574 eV/atom

=====

Record 4
DFT (PBE-GGA) results for a geometry-optimized La2InPt structure.

a b c (Å): 6.084 6.084 6.084
angles (deg): 136.46 136.46 63.27
Fractional coordinates of all 4 atoms:
La 0.000 0.000 0.000
In 0.750 0.250 0.500
Pt 0.500 0.500 0.000
La 0.250 0.750 0.500

Calculated values
Space group ... I-4m2, No. 119
Formation energy from the elements ... -0.609 eV/atom

=====

Record 5
DFT (PBE-GGA) results for a geometry-optimized LaInPt2 structure.

a b c (Å): 4.964 4.964 4.964
angles (deg): 60.00 60.00 60.00
Fractional coordinates of all 4 atoms:
La 0.750 0.750 0.750
Pt 0.000 0.000 0.000
Pt 0.250 0.250 0.250
In 0.500 0.500 0.500

Calculated values
Space group ... F-43m, No. 216
Formation energy from the elements ... -0.513 eV/atom

=====

Record 6
DFT (PBE-GGA) results for a geometry-optimized LaIn4Pt2 structure.

a b c (Å): 4.316 4.364 9.100
angles (deg): 103.88 90.00 90.00
Fractional coordinates of all 7 atoms:
In 0.500 0.827 0.655
In 0.000 0.679 0.358
Pt 0.500 0.425 0.851
La 0.000 0.000 0.000
In 0.500 0.173 0.345
In 0.000 0.321 0.642
Pt 0.500 0.575 0.149

Calculated values
Offset from the most stable computed form ... 163 meV/atom
Space group ... Cmmm, No. 65
Formation energy from the elements ... -0.513 eV/atom

=====

Record 7
DFT (PBE-GGA) results for a geometry-optimized LaInPt2 structure.

a b c (Å): 4.035 4.032 5.752
angles (deg): 90.00 90.00 90.00
Fractional coordinates of all 4 atoms:
Pt 0.000 0.000 0.936
In 0.000 0.000 0.418
La 0.500 0.500 0.818
Pt 0.500 0.500 0.329

Calculated values
Space group ... P4mm, No. 99
Formation energy from the elements ... -0.737 eV/atom

=====

Record 8
DFT (PBE-GGA) results for a geometry-optimized LaIn2Pt2 structure.

a b c (Å): 4.313 4.313 6.893
angles (deg): 71.77 71.77 90.00
Fractional coordinates of all 5 atoms:
La 0.000 0.000 0.000
In 0.250 0.750 0.500
In 0.750 0.250 0.500
Pt 0.607 0.607 0.786
Pt 0.393 0.393 0.214

Calculated values
Space group ... I4/mmm, No. 139
Formation energy from the elements ... -0.793 eV/atom

=====

Record 9
DFT (PBE-GGA) results for a geometry-optimized LaIn2Pt structure.

a b c (Å): 4.210 6.696 4.211
angles (deg): 72.18 88.47 107.82
Fractional coordinates of all 4 atoms:
Pt 0.500 0.500 0.000
In 0.000 0.000 0.000
La 0.000 0.500 0.500
In 0.500 0.000 0.500

Calculated values
Space group ... Fmmm, No. 69
Formation energy from the elements ... -0.427 eV/atom

=====

Record 10
DFT (PBE-GGA) results for a geometry-optimized La2InPt structure.

a b c (Å): 4.039 7.613 7.955
angles (deg): 90.00 104.71 90.00
Fractional coordinates of all 8 atoms:
La 0.362 0.995 0.724
In 0.998 0.250 0.995
Pt 0.800 0.250 0.599
La 0.362 0.505 0.724
In 0.002 0.750 0.005
Pt 0.200 0.750 0.401
La 0.638 0.005 0.276
La 0.638 0.495 0.276

Calculated values
Space group ... Cmcm, No. 63
Formation energy from the elements ... -0.826 eV/atom

=====

Record 11
DFT (PBE-GGA) results for a geometry-optimized LaIn2Pt structure.

a b c (Å): 3.615 3.613 7.573
angles (deg): 90.00 90.00 90.00
Fractional coordinates of all 4 atoms:
In 0.500 0.500 0.217
Pt 0.500 0.500 0.772
In 0.000 0.000 0.970
La 0.000 0.000 0.540

Calculated values
Space group ... P4mm, No. 99
Formation energy from the elements ... -0.534 eV/atom

=====

Record 12
DFT (PBE-GGA) results for a geometry-optimized La2InPt structure.

a b c (Å): 6.049 6.049 6.049
angles (deg): 47.36 47.36 47.36
Fractional coordinates of all 4 atoms:
La 0.233 0.233 0.233
Pt 0.444 0.444 0.444
In 0.798 0.798 0.798
La 0.024 0.024 0.024

Calculated values
Space group ... R3m, No. 160
Formation energy from the elements ... -0.639 eV/atom

=====

> What is the formation energy from the elements in the fifth record?

-0.513 eV/atom

=====

> Which of these has the highest formation energy from the elements?

number 9

=====

> Among the records above, which one has the highest formation energy from the elements?

number 9